Entry one
! Pm2YBi PBE-GGA relaxed; values from VASP
&SYSTEM
  ibrav = 0, nat = 4, ntyp = 3
/
ATOMIC_SPECIES
Pm 145.00 Pm.upf
Y 88.91 Y.upf
Bi 208.98 Bi.upf
CELL_PARAMETERS angstrom
1.7921 1.0346 12.3405
-1.7921 1.0346 12.3405
0.0000 -2.0693 12.3405
ATOMIC_POSITIONS angstrom
Pm 0.0000 0.0000 3.2319
Pm 0.0000 0.0000 33.7895
Y 0.0000 0.0000 18.5107
Bi 0.0000 0.0000 0.0000
! - Crystal system: trigonal
! - SG: No. 166
! - Spin magnetization: 0.00 μB per formula unit

=====

Entry two
! Pm2YBi PBE-GGA relaxed; values from VASP
&SYSTEM
  ibrav = 0, nat = 4, ntyp = 3
/
ATOMIC_SPECIES
Pm 145.00 Pm.upf
Y 88.91 Y.upf
Bi 208.98 Bi.upf
CELL_PARAMETERS angstrom
4.9006 0.0000 0.0000
0.0000 4.9006 0.0000
0.0000 0.0000 5.0249
ATOMIC_POSITIONS angstrom
Pm 0.0000 2.4503 0.0000
Pm 2.4503 0.0000 0.0000
Y 0.0000 0.0000 2.5124
Bi 2.4503 2.4503 2.5124
! - Crystal system: tetragonal
! - SG: No. 123
! - Spin magnetization: 0.00 μB per formula unit

=====

Least stable structure: entry one

=====

Entry one
! Pm2YBi PBE-GGA relaxed; values from VASP
&SYSTEM
  ibrav = 0, nat = 4, ntyp = 3
/
ATOMIC_SPECIES
Pm 145.00 Pm.upf
Y 88.91 Y.upf
Bi 208.98 Bi.upf
CELL_PARAMETERS angstrom
2.0661 1.1928 9.6906
-2.0661 1.1928 9.6906
0.0000 -2.3857 9.6906
ATOMIC_POSITIONS angstrom
Pm 0.0000 0.0000 0.0000
Pm 0.0000 0.0000 5.5889
Y 0.0000 0.0000 22.1790
Bi 0.0000 0.0000 17.3361
! - Crystal system: trigonal
! - SG: No. 160
! - Spin magnetization: 0.88 μB per formula unit

=====

Entry two
! Pm2YBi PBE-GGA relaxed; values from VASP
&SYSTEM
  ibrav = 0, nat = 8, ntyp = 3
/
ATOMIC_SPECIES
Pm 145.00 Pm.upf
Y 88.91 Y.upf
Bi 208.98 Bi.upf
CELL_PARAMETERS angstrom
2.3343 -11.6922 0.0000
2.3343 11.6922 0.0000
0.0000 0.0000 4.6571
ATOMIC_POSITIONS angstrom
Pm 2.3343 10.2681 3.4928
Pm 2.3343 1.5222 3.4928
Pm 2.3343 -1.5222 1.1643
Pm 2.3343 -10.2681 1.1643
Y 2.3343 4.5109 1.1643
Y 2.3343 -4.5109 3.4928
Bi 2.3343 7.6702 1.1643
Bi 2.3343 -7.6702 3.4928
! - Crystal system: orthorhombic
! - SG: No. 63
! - Spin magnetization: 0.00 μB per formula unit

=====

Entry three
! Pm2YBi PBE-GGA relaxed; values from VASP
&SYSTEM
  ibrav = 0, nat = 4, ntyp = 3
/
ATOMIC_SPECIES
Pm 145.00 Pm.upf
Y 88.91 Y.upf
Bi 208.98 Bi.upf
CELL_PARAMETERS angstrom
4.3156 0.0000 0.0000
0.0000 4.3156 0.0000
0.0000 0.0000 6.8220
ATOMIC_POSITIONS angstrom
Pm 0.0000 0.0000 1.6198
Pm 0.0000 0.0000 5.2022
Y 2.1578 2.1578 3.4110
Bi 2.1578 2.1578 0.0000
! - Crystal system: tetragonal
! - SG: No. 123
! - Spin magnetization: 0.00 μB per formula unit

=====

Least stable structure: entry one